Computed, not measured: Cu2HgSb after structural relaxation at the GGA-PBE level of DFT.

- Raw total energy: -2.973 eV per atom
- Formation energy without anion corrections: 0.73 eV per formula unit

Cell: 8.2816 3.2971 5.8721 Å, 90.00 100.98 90.00°
With the nearest neighbours (Å) after each atom.
Space group Cm (No. 8)
Asymmetric unit:
Cu  0.0000  0.0000  0.0000  3 Cu 2.54-2.55, 2 Sb 2.75, 3 Hg 2.76-2.84
Cu  0.2289  0.5000  0.1472  3 Cu 2.54-2.55, 3 Sb 2.69-2.72
Hg  0.2494  0.0000  0.7482  5 Cu 2.76-2.90
Sb  0.4717  0.0000  0.3657  5 Cu 2.69-2.75